# 1
Here is crystalline Y2Tm2Sn7 at its relaxed geometry from Alexandria. Energies are from PBE.

The structure belongs to space group C2/m (No. 12); the cell edges are 11.878, 8.641 and 6.919 Å and the angles 90.00°, 112.55° and 90.00°. Symmetry generates all atoms from Y at (0.000, 0.215, 0.000), Tm at (0.244, 0.500, 0.507), Sn at (0.000, 0.000, 0.500), Sn at (0.038, 0.500, 0.728) and Sn at (0.202, 0.238, 0.777).

Its formation energy is -0.3195 eV/atom. The value obtained for the magnetic moment is 0.8 μB per formula unit. For the density of states at the Fermi level, the calculation gives 13.04 states/eV per cell.


# 2
Here is crystalline Y2TmSn at its relaxed geometry from Alexandria. Energies are from PBE.

The structure belongs to space group P4/mmm (No. 123); the cell edges are 4.810, 4.810 and 4.788 Å and the angles 90.00°, 90.00° and 90.00°. Symmetry generates all atoms from Y at (0.000, 0.500, 0.000), Tm at (0.000, 0.000, 0.500) and Sn at (0.500, 0.500, 0.500).

Its polymorph energy (0 for the lowest one) is 0.000 eV/atom. Its formation energy is -0.4052 eV/atom. The value obtained for the magnetic moment is 0.4 μB per formula unit. For the density of states at the Fermi level, the calculation gives 5.07 states/eV per cell.